Entry 1:
VASP calculation (PBE) on a geometry-optimized MgNbGa2Rh structure.

```
data_MgNbGa2Rh
_chemical_formula_sum 'Mg1 Nb1 Ga2 Rh1'
_cell_length_a 4.6539
_cell_length_b 4.6539
_cell_length_c 4.4091
_cell_angle_alpha 90.00
_cell_angle_beta 90.00
_cell_angle_gamma 90.00
_symmetry_space_group_name_H-M 'P 4/m m m'
_symmetry_Int_Tables_number 123
_symmetry_space_group_name_Hall '-P 4 2'
loop_
_atom_site_label
_atom_site_type_symbol
_atom_site_fract_x
_atom_site_fract_y
_atom_site_fract_z
_atom_site_occupancy
Mg1 Mg 0.0000 0.0000 0.0000 1
Nb1 Nb 0.5000 0.5000 0.5000 1
Ga1 Ga 0.0000 0.5000 0.0000 1
Rh1 Rh 0.0000 0.0000 0.5000 1
```

## Properties
Crystal system: tetragonal
Total DFT energy (no corrections): -4.084 eV/atom
Total magnetization: 0.0 μB per formula unit

Entry 2:
VASP calculation (PBE) on a geometry-optimized MgNbGaRu structure.

```
data_MgNbGaRu
_chemical_formula_sum 'Mg4 Nb4 Ga4 Ru4'
_cell_length_a 6.3534
_cell_length_b 6.3534
_cell_length_c 6.3534
_cell_angle_alpha 90.00
_cell_angle_beta 90.00
_cell_angle_gamma 90.00
_symmetry_space_group_name_H-M 'F -4 3 m'
_symmetry_Int_Tables_number 216
_symmetry_space_group_name_Hall 'F -4 2 3'
loop_
_atom_site_label
_atom_site_type_symbol
_atom_site_fract_x
_atom_site_fract_y
_atom_site_fract_z
_atom_site_occupancy
Mg1 Mg 0.0000 0.0000 0.0000 1
Nb1 Nb 0.0000 0.0000 0.5000 1
Ga1 Ga 0.2500 0.2500 0.2500 1
Ru1 Ru 0.2500 0.2500 0.7500 1
```

## Properties
Crystal system: cubic
Total DFT energy (no corrections): -6.221 eV/atom
Total magnetization: 0.0 μB per formula unit

Entry 3:
VASP calculation (PBE) on a geometry-optimized MgNb2GaW structure.

```
data_MgNb2GaW
_chemical_formula_sum 'Mg1 Nb2 Ga1 W1'
_cell_length_a 4.7341
_cell_length_b 4.7341
_cell_length_c 4.3260
_cell_angle_alpha 90.00
_cell_angle_beta 90.00
_cell_angle_gamma 90.00
_symmetry_space_group_name_H-M 'P 4/m m m'
_symmetry_Int_Tables_number 123
_symmetry_space_group_name_Hall '-P 4 2'
loop_
_atom_site_label
_atom_site_type_symbol
_atom_site_fract_x
_atom_site_fract_y
_atom_site_fract_z
_atom_site_occupancy
Mg1 Mg 0.0000 0.0000 0.0000 1
Nb1 Nb 0.0000 0.5000 0.0000 1
Ga1 Ga 0.0000 0.0000 0.5000 1
W1 W 0.5000 0.5000 0.5000 1
```

## Properties
Crystal system: tetragonal
Total DFT energy (no corrections): -5.826 eV/atom
Total magnetization: 0.0 μB per formula unit

Entry 4:
VASP calculation (PBE) on a geometry-optimized Nd7Mg2Ga2 structure.

```
data_Nd7Mg2Ga2
_chemical_formula_sum 'Nd14 Mg4 Ga4'
_cell_length_a 7.5554
_cell_length_b 10.7419
_cell_length_c 8.6755
_cell_angle_alpha 90.00
_cell_angle_beta 90.00
_cell_angle_gamma 90.00
_symmetry_space_group_name_H-M 'C m m m'
_symmetry_Int_Tables_number 65
_symmetry_space_group_name_Hall '-C 2 2'
loop_
_atom_site_label
_atom_site_type_symbol
_atom_site_fract_x
_atom_site_fract_y
_atom_site_fract_z
_atom_site_occupancy
Nd1 Nd 0.0000 0.0000 0.0000 1
Nd2 Nd 0.0000 0.5000 0.2968 1
Nd3 Nd 0.2500 0.2500 0.3002 1
Mg1 Mg 0.0000 0.3187 0.0000 1
Ga1 Ga 0.1659 0.0000 0.5000 1
```

## Properties
Crystal system: orthorhombic
Total DFT energy (no corrections): -3.807 eV/atom
Total magnetization: 0.0 μB per formula unit

Entry 5:
VASP calculation (PBE) on a geometry-optimized Nd3Mg2Ga3 structure.

```
data_Nd3Mg2Ga3
_chemical_formula_sum 'Nd6 Mg4 Ga6'
_cell_length_a 8.8533
_cell_length_b 8.8533
_cell_length_c 6.0671
_cell_angle_alpha 90.00
_cell_angle_beta 90.00
_cell_angle_gamma 120.00
_symmetry_space_group_name_H-M 'P 63/m c m'
_symmetry_Int_Tables_number 193
_symmetry_space_group_name_Hall '-P 6c 2'
loop_
_atom_site_label
_atom_site_type_symbol
_atom_site_fract_x
_atom_site_fract_y
_atom_site_fract_z
_atom_site_occupancy
Nd1 Nd 0.0000 0.2883 0.2500 1
Mg1 Mg 0.3333 0.6667 0.0000 1
Ga1 Ga 0.0000 0.3729 0.7500 1
```

## Properties
Crystal system: hexagonal
Total DFT energy (no corrections): -3.722 eV/atom
Total magnetization: 0.0 μB per formula unit

Entry 6:
VASP calculation (PBE) on a geometry-optimized NdMg2Ga structure.

```
data_NdMg2Ga
_chemical_formula_sum 'Nd1 Mg2 Ga1'
_cell_length_a 4.4489
_cell_length_b 4.4489
_cell_length_c 4.8714
_cell_angle_alpha 90.00
_cell_angle_beta 90.00
_cell_angle_gamma 90.00
_symmetry_space_group_name_H-M 'P 4/m m m'
_symmetry_Int_Tables_number 123
_symmetry_space_group_name_Hall '-P 4 2'
loop_
_atom_site_label
_atom_site_type_symbol
_atom_site_fract_x
_atom_site_fract_y
_atom_site_fract_z
_atom_site_occupancy
Nd1 Nd 0.0000 0.0000 0.0000 1
Mg1 Mg 0.0000 0.5000 0.5000 1
Ga1 Ga 0.5000 0.5000 0.0000 1
```

## Properties
Crystal system: tetragonal
Total DFT energy (no corrections): -3.032 eV/atom
Total magnetization: 0.0 μB per formula unit

Entry 7:
VASP calculation (PBE) on a geometry-optimized NdMg4Ga2 structure.

```
data_NdMg4Ga2
_chemical_formula_sum 'Nd2 Mg8 Ga4'
_cell_length_a 4.4169
_cell_length_b 16.2759
_cell_length_c 4.3828
_cell_angle_alpha 90.00
_cell_angle_beta 90.00
_cell_angle_gamma 90.00
_symmetry_space_group_name_H-M 'C m m m'
_symmetry_Int_Tables_number 65
_symmetry_space_group_name_Hall '-C 2 2'
loop_
_atom_site_label
_atom_site_type_symbol
_atom_site_fract_x
_atom_site_fract_y
_atom_site_fract_z
_atom_site_occupancy
Nd1 Nd 0.0000 0.0000 0.0000 1
Mg1 Mg 0.0000 0.1771 0.5000 1
Mg2 Mg 0.0000 0.3205 0.0000 1
Ga1 Ga 0.0000 0.4244 0.5000 1
```

## Properties
Crystal system: orthorhombic
Total DFT energy (no corrections): -2.751 eV/atom
Total magnetization: 0.0 μB per formula unit

Entry 8:
VASP calculation (PBE) on a geometry-optimized Nd3Mg2Ga4 structure.

```
data_Nd3Mg2Ga4
_chemical_formula_sum 'Nd6 Mg4 Ga8'
_cell_length_a 10.7468
_cell_length_b 4.4997
_cell_length_c 9.1539
_cell_angle_alpha 90.00
_cell_angle_beta 97.92
_cell_angle_gamma 90.00
_symmetry_space_group_name_H-M 'C 1 2/m 1'
_symmetry_Int_Tables_number 12
loop_
_symmetry_equiv_pos_as_xyz
'x,y,z'
'-x,-y,-z'
'-x,y,-z'
'x,-y,z'
'x+1/2,y+1/2,z'
'-x+1/2,-y+1/2,-z'
'-x+1/2,y+1/2,-z'
'x+1/2,-y+1/2,z'
loop_
_atom_site_label
_atom_site_type_symbol
_atom_site_fract_x
_atom_site_fract_y
_atom_site_fract_z
_atom_site_occupancy
Nd1 Nd 0.0000 0.0000 0.0000 1
Nd2 Nd 0.1295 0.5000 0.3888 1
Mg1 Mg 0.1805 0.5000 0.7754 1
Ga1 Ga 0.0728 0.0000 0.6416 1
Ga2 Ga 0.2031 0.5000 0.0770 1
```

## Properties
Crystal system: monoclinic
Total DFT energy (no corrections): -3.725 eV/atom
Total magnetization: 0.0 μB per formula unit

Entry 9:
VASP calculation (PBE) on a geometry-optimized Nd4MgGa structure.

```
data_Nd4MgGa
_chemical_formula_sum 'Nd4 Mg1 Ga1'
_cell_length_a 5.0027
_cell_length_b 5.0027
_cell_length_c 8.1504
_cell_angle_alpha 90.00
_cell_angle_beta 90.00
_cell_angle_gamma 90.00
_symmetry_space_group_name_H-M 'P 4/m m m'
_symmetry_Int_Tables_number 123
_symmetry_space_group_name_Hall '-P 4 2'
loop_
_atom_site_label
_atom_site_type_symbol
_atom_site_fract_x
_atom_site_fract_y
_atom_site_fract_z
_atom_site_occupancy
Nd1 Nd 0.0000 0.5000 0.2250 1
Mg1 Mg 0.0000 0.0000 0.5000 1
Ga1 Ga 0.5000 0.5000 0.0000 1
```

## Properties
Crystal system: tetragonal
Total DFT energy (no corrections): -3.894 eV/atom
Total magnetization: 0.0 μB per formula unit

Entry 10:
VASP calculation (PBE) on a geometry-optimized Nd3Mg2Ga structure.

```
data_Nd3Mg2Ga
_chemical_formula_sum 'Nd6 Mg4 Ga2'
_cell_length_a 5.4009
_cell_length_b 16.3128
_cell_length_c 3.7886
_cell_angle_alpha 90.00
_cell_angle_beta 90.00
_cell_angle_gamma 90.00
_symmetry_space_group_name_H-M 'C m m m'
_symmetry_Int_Tables_number 65
_symmetry_space_group_name_Hall '-C 2 2'
loop_
_atom_site_label
_atom_site_type_symbol
_atom_site_fract_x
_atom_site_fract_y
_atom_site_fract_z
_atom_site_occupancy
Nd1 Nd 0.0000 0.0000 0.0000 1
Nd2 Nd 0.0000 0.3445 0.0000 1
Mg1 Mg 0.0000 0.1754 0.5000 1
Ga1 Ga 0.0000 0.5000 0.5000 1
```

## Properties
Crystal system: orthorhombic
Total DFT energy (no corrections): -3.682 eV/atom
Total magnetization: 0.0 μB per formula unit

Entry 11:
VASP calculation (PBE) on a geometry-optimized Nd6MgGa3 structure.

```
data_Nd6MgGa3
_chemical_formula_sum 'Nd24 Mg4 Ga12'
_cell_length_a 10.8349
_cell_length_b 15.3211
_cell_length_c 7.1544
_cell_angle_alpha 90.00
_cell_angle_beta 90.00
_cell_angle_gamma 90.00
_symmetry_space_group_name_H-M 'C m c 21'
_symmetry_Int_Tables_number 36
loop_
_symmetry_equiv_pos_as_xyz
'x,y,z'
'-x,-y,z+1/2'
'-x,y,z'
'x,-y,z+1/2'
'x+1/2,y+1/2,z'
'-x+1/2,-y+1/2,z+1/2'
'-x+1/2,y+1/2,z'
'x+1/2,-y+1/2,z+1/2'
loop_
_atom_site_label
_atom_site_type_symbol
_atom_site_fract_x
_atom_site_fract_y
_atom_site_fract_z
_atom_site_occupancy
Nd1 Nd 0.0000 0.0373 0.0001 1
Nd2 Nd 0.0000 0.2962 0.0804 1
Nd3 Nd 0.2104 0.3055 0.5000 1
Nd4 Nd 0.2218 0.4626 0.1555 1
Mg1 Mg 0.0000 0.1734 0.6697 1
Ga1 Ga 0.0000 0.4498 0.4298 1
Ga2 Ga 0.1267 0.1328 0.3288 1
```

## Properties
Crystal system: orthorhombic
Total DFT energy (no corrections): -4.165 eV/atom
Total magnetization: 0.0 μB per formula unit

Entry 12:
VASP calculation (PBE) on a geometry-optimized NdMg2Ga structure.

```
data_NdMg2Ga
_chemical_formula_sum 'Nd3 Mg6 Ga3'
_cell_length_a 3.2331
_cell_length_b 3.2331
_cell_length_c 33.3141
_cell_angle_alpha 90.00
_cell_angle_beta 90.00
_cell_angle_gamma 120.00
_symmetry_space_group_name_H-M 'R -3 m'
_symmetry_Int_Tables_number 166
_symmetry_space_group_name_Hall '-R 3 2"'
loop_
_atom_site_label
_atom_site_type_symbol
_atom_site_fract_x
_atom_site_fract_y
_atom_site_fract_z
_atom_site_occupancy
Nd1 Nd 0.0000 0.0000 0.0000 1
Mg1 Mg 0.0000 0.0000 0.0985 1
Ga1 Ga 0.0000 0.0000 0.5000 1
```

## Properties
Crystal system: trigonal
Total DFT energy (no corrections): -2.634 eV/atom
Total magnetization: 0.0 μB per formula unit